First-principles (PBE-GGA) data for a geometry-optimized BaCa5Cd4 structure, as listed in Alexandria.

Cell and atoms, written as POSCAR:
```
BaCa5Cd4
1.0
-2.619 2.736 -0.924
-2.859 -2.282 1.348
2.234 8.723 19.503
Ca Cd Ba
5 4 1
direct
0.500 0.500 0.849
0.500 0.500 0.675
0.500 0.500 0.325
0.500 0.500 0.500
0.500 0.500 0.151
0.000 0.000 0.413
0.000 0.000 0.764
0.000 0.000 0.236
0.000 0.000 0.587
0.000 0.000 0.000
```

DOS at the Fermi energy ... 10.64 states/eV per cell
Energy relative to the elements ... -2.7 eV/f.u.
Crystal system ... tetragonal